# Y2Tm6S3

An optimized crystal structure of Y2Tm6S3 (GGA-PBE, Alexandria).

Structure (CIF):
```
data_Y2Tm6S3
_symmetry_space_group_name_H-M 'R -3 m'
_symmetry_Int_Tables_number 166
_symmetry_space_group_name_Hall '-R 3 2"'
_cell_length_a 3.6924
_cell_length_b 3.6924
_cell_length_c 72.4254
_cell_angle_alpha 90.00
_cell_angle_beta 90.00
_cell_angle_gamma 120.00
loop_
_atom_site_label
_atom_site_type_symbol
_atom_site_fract_x
_atom_site_fract_y
_atom_site_fract_z
_atom_site_occupancy
Y1 Y 0.0000 0.0000 0.0584 1
Tm1 Tm 0.0000 0.0000 0.1433 1
Tm2 Tm 0.0000 0.0000 0.3144 1
Tm3 Tm 0.0000 0.0000 0.4313 1
S1 S 0.0000 0.0000 0.2121 1
S2 S 0.0000 0.0000 0.5000 1
```

Summary:
density of states at the Fermi level: 32.722 states/eV/cell
uncorrected formation energy: -1.0194 eV per atom

# YTmS3

An optimized crystal structure of YTmS3 (GGA-PBE, Alexandria).

Structure (CIF):
```
data_YTmS3
_symmetry_space_group_name_H-M 'P 1 21/m 1'
_symmetry_Int_Tables_number 11
_symmetry_space_group_name_Hall '-P 2yb'
_cell_length_a 7.707
_cell_length_b 3.862
_cell_length_c 7.719
_cell_angle_alpha 90.00
_cell_angle_beta 94.75
_cell_angle_gamma 90.00
loop_
_atom_site_label
_atom_site_type_symbol
_atom_site_fract_x
_atom_site_fract_y
_atom_site_fract_z
_atom_site_occupancy
Y1 Y 0.119 0.250 0.270 1
Tm1 Tm 0.354 0.750 0.820 1
S1 S 0.123 0.250 0.887 1
S2 S 0.180 0.750 0.519 1
S3 S 0.399 0.750 0.179 1
```

Summary:
uncorrected formation energy: -2.0405 eV per atom

# YTm3S6

An optimized crystal structure of YTm3S6 (GGA-PBE, Alexandria).

Structure (CIF):
```
data_YTm3S6
_symmetry_space_group_name_H-M 'P 1 21/m 1'
_symmetry_Int_Tables_number 11
_symmetry_space_group_name_Hall '-P 2yb'
_cell_length_a 10.927
_cell_length_b 3.908
_cell_length_c 11.189
_cell_angle_alpha 90.00
_cell_angle_beta 108.84
_cell_angle_gamma 90.00
loop_
_atom_site_label
_atom_site_type_symbol
_atom_site_fract_x
_atom_site_fract_y
_atom_site_fract_z
_atom_site_occupancy
Y1 Y 0.045 0.250 0.192 1
Tm1 Tm 0.161 0.250 0.585 1
Tm2 Tm 0.318 0.750 0.998 1
Tm3 Tm 0.435 0.250 0.332 1
S1 S 0.082 0.750 0.403 1
S2 S 0.113 0.250 0.963 1
S3 S 0.193 0.750 0.749 1
S4 S 0.258 0.750 0.225 1
S5 S 0.397 0.250 0.562 1
S6 S 0.477 0.250 0.113 1
```

Summary:
uncorrected formation energy: -2.0723 eV per atom

# YTm4S7

An optimized crystal structure of YTm4S7 (GGA-PBE, Alexandria).

Structure (CIF):
```
data_YTm4S7
_symmetry_space_group_name_H-M 'C 1 m 1'
_symmetry_Int_Tables_number 8
_symmetry_space_group_name_Hall 'C -2y'
_cell_length_a 12.713
_cell_length_b 3.762
_cell_length_c 11.513
_cell_angle_alpha 90.00
_cell_angle_beta 104.40
_cell_angle_gamma 90.00
loop_
_atom_site_label
_atom_site_type_symbol
_atom_site_fract_x
_atom_site_fract_y
_atom_site_fract_z
_atom_site_occupancy
Y1 Y 0.000 0.000 0.000 1
Tm1 Tm 0.112 0.000 0.422 1
Tm2 Tm 0.224 0.000 0.841 1
Tm3 Tm 0.313 0.500 0.235 1
Tm4 Tm 0.412 0.000 0.607 1
S1 S 0.070 0.000 0.636 1
S2 S 0.113 0.500 0.918 1
S3 S 0.155 0.000 0.209 1
S4 S 0.271 0.500 0.472 1
S5 S 0.352 0.500 0.772 1
S6 S 0.368 0.000 0.069 1
S7 S 0.454 0.000 0.370 1
```

Summary:
density of states at the Fermi level: 3.015 states/eV/cell
uncorrected formation energy: -2.0569 eV per atom

# YTm3S6

An optimized crystal structure of YTm3S6 (GGA-PBE, Alexandria).

Structure (CIF):
```
data_YTm3S6
_symmetry_space_group_name_H-M 'R -3'
_symmetry_Int_Tables_number 148
_symmetry_space_group_name_Hall '-R 3'
_cell_length_a 11.3500
_cell_length_b 11.3500
_cell_length_c 13.5446
_cell_angle_alpha 90.00
_cell_angle_beta 90.00
_cell_angle_gamma 120.00
loop_
_atom_site_label
_atom_site_type_symbol
_atom_site_fract_x
_atom_site_fract_y
_atom_site_fract_z
_atom_site_occupancy
Y1 Y 0.0000 0.0000 0.0000 1
Y2 Y 0.0000 0.0000 0.5000 1
Tm1 Tm 0.0499 0.7798 0.2033 1
S1 S 0.0197 0.8041 0.3974 1
S2 S 0.0312 0.8373 0.8718 1
```

Summary:
density of states at the Fermi level: 0.000 states/eV/cell
uncorrected formation energy: -2.0450 eV per atom

# YTm4S5

An optimized crystal structure of YTm4S5 (GGA-PBE, Alexandria).

Structure (CIF):
```
data_YTm4S5
_symmetry_space_group_name_H-M 'I m m m'
_symmetry_Int_Tables_number 71
_symmetry_space_group_name_Hall '-I 2 2'
_cell_length_a 3.862
_cell_length_b 5.444
_cell_length_c 19.290
_cell_angle_alpha 90.00
_cell_angle_beta 90.00
_cell_angle_gamma 90.00
loop_
_atom_site_label
_atom_site_type_symbol
_atom_site_fract_x
_atom_site_fract_y
_atom_site_fract_z
_atom_site_occupancy
Y1 Y 0.000 0.000 0.000 1
Tm1 Tm 0.000 0.000 0.201 1
Tm2 Tm 0.000 0.000 0.400 1
S1 S 0.000 0.500 0.000 1
S2 S 0.000 0.500 0.200 1
S3 S 0.000 0.500 0.397 1
```

Summary:
density of states at the Fermi level: 8.652 states/eV/cell
uncorrected formation energy: -1.9375 eV per atom

# YTm2S4

An optimized crystal structure of YTm2S4 (GGA-PBE, Alexandria).

Structure (CIF):
```
data_YTm2S4
_symmetry_space_group_name_H-M 'C m c m'
_symmetry_Int_Tables_number 63
_symmetry_space_group_name_Hall '-C 2c 2'
_cell_length_a 3.776
_cell_length_b 12.747
_cell_length_c 13.010
_cell_angle_alpha 90.00
_cell_angle_beta 90.00
_cell_angle_gamma 90.00
loop_
_atom_site_label
_atom_site_type_symbol
_atom_site_fract_x
_atom_site_fract_y
_atom_site_fract_z
_atom_site_occupancy
Y1 Y 0.000 0.126 0.250 1
Tm1 Tm 0.000 0.370 0.069 1
S1 S 0.000 0.000 0.000 1
S2 S 0.000 0.275 0.621 1
S3 S 0.000 0.469 0.250 1
```

Summary:
density of states at the Fermi level: 8.112 states/eV/cell
uncorrected formation energy: -2.0464 eV per atom

# Y2Tm3S4

An optimized crystal structure of Y2Tm3S4 (GGA-PBE, Alexandria).

Structure (CIF):
```
data_Y2Tm3S4
_symmetry_space_group_name_H-M 'P -3 m 1'
_symmetry_Int_Tables_number 164
_symmetry_space_group_name_Hall '-P 3 2"'
_cell_length_a 3.8282
_cell_length_b 3.8282
_cell_length_c 15.7633
_cell_angle_alpha 90.00
_cell_angle_beta 90.00
_cell_angle_gamma 120.00
loop_
_atom_site_label
_atom_site_type_symbol
_atom_site_fract_x
_atom_site_fract_y
_atom_site_fract_z
_atom_site_occupancy
Y1 Y 0.3333 0.6667 0.2065 1
Tm1 Tm 0.0000 0.0000 0.0000 1
Tm2 Tm 0.3333 0.6667 0.5882 1
S1 S 0.0000 0.0000 0.3097 1
S2 S 0.3333 0.6667 0.9003 1
```

Summary:
density of states at the Fermi level: 5.878 states/eV/cell
uncorrected formation energy: -1.7367 eV per atom

# YTm5S4

An optimized crystal structure of YTm5S4 (GGA-PBE, Alexandria).

Structure (CIF):
```
data_YTm5S4
_symmetry_space_group_name_H-M 'C 1 2/m 1'
_symmetry_Int_Tables_number 12
_symmetry_space_group_name_Hall '-C 2y'
_cell_length_a 16.416
_cell_length_b 3.811
_cell_length_c 7.600
_cell_angle_alpha 90.00
_cell_angle_beta 102.64
_cell_angle_gamma 90.00
loop_
_atom_site_label
_atom_site_type_symbol
_atom_site_fract_x
_atom_site_fract_y
_atom_site_fract_z
_atom_site_occupancy
Y1 Y 0.000 0.000 0.000 1
Tm1 Tm 0.000 0.000 0.500 1
Tm2 Tm 0.165 0.500 0.827 1
Tm3 Tm 0.177 0.500 0.343 1
S1 S 0.005 0.500 0.257 1
S2 S 0.168 0.000 0.080 1
```

Summary:
density of states at the Fermi level: 12.449 states/eV/cell
uncorrected formation energy: -1.5149 eV per atom

# Y2TmS

An optimized crystal structure of Y2TmS (GGA-PBE, Alexandria).

Structure (CIF):
```
data_Y2TmS
_symmetry_space_group_name_H-M 'R -3 m'
_symmetry_Int_Tables_number 166
_symmetry_space_group_name_Hall '-R 3 2"'
_cell_length_a 3.6667
_cell_length_b 3.6667
_cell_length_c 29.7084
_cell_angle_alpha 90.00
_cell_angle_beta 90.00
_cell_angle_gamma 120.00
loop_
_atom_site_label
_atom_site_type_symbol
_atom_site_fract_x
_atom_site_fract_y
_atom_site_fract_z
_atom_site_occupancy
Y1 Y 0.0000 0.0000 0.1114 1
Tm1 Tm 0.0000 0.0000 0.0000 1
S1 S 0.0000 0.0000 0.5000 1
```

Summary:
density of states at the Fermi level: 14.057 states/eV/cell
uncorrected formation energy: -0.7245 eV per atom

# YTm4S6

An optimized crystal structure of YTm4S6 (GGA-PBE, Alexandria).

Structure (CIF):
```
data_YTm4S6
_symmetry_space_group_name_H-M 'C m c m'
_symmetry_Int_Tables_number 63
_symmetry_space_group_name_Hall '-C 2c 2'
_cell_length_a 3.785
_cell_length_b 12.666
_cell_length_c 19.606
_cell_angle_alpha 90.00
_cell_angle_beta 90.00
_cell_angle_gamma 90.00
loop_
_atom_site_label
_atom_site_type_symbol
_atom_site_fract_x
_atom_site_fract_y
_atom_site_fract_z
_atom_site_occupancy
Y1 Y 0.000 0.152 0.250 1
Tm1 Tm 0.000 0.092 0.627 1
Tm2 Tm 0.000 0.361 0.539 1
S1 S 0.000 0.000 0.000 1
S2 S 0.000 0.190 0.750 1
S3 S 0.000 0.269 0.088 1
S4 S 0.000 0.451 0.666 1
```

Summary:
density of states at the Fermi level: 10.549 states/eV/cell
uncorrected formation energy: -2.0133 eV per atom

# Y3Tm5S8

An optimized crystal structure of Y3Tm5S8 (GGA-PBE, Alexandria).

Structure (CIF):
```
data_Y3Tm5S8
_symmetry_space_group_name_H-M 'R -3 m'
_symmetry_Int_Tables_number 166
_symmetry_space_group_name_Hall '-R 3 2"'
_cell_length_a 7.7379
_cell_length_b 7.7379
_cell_length_c 18.9940
_cell_angle_alpha 90.00
_cell_angle_beta 90.00
_cell_angle_gamma 120.00
loop_
_atom_site_label
_atom_site_type_symbol
_atom_site_fract_x
_atom_site_fract_y
_atom_site_fract_z
_atom_site_occupancy
Y1 Y 0.0000 0.5000 0.0000 1
Tm1 Tm 0.0000 0.0000 0.0000 1
Tm2 Tm 0.0000 0.0000 0.5000 1
Tm3 Tm 0.0000 0.5000 0.5000 1
S1 S 0.0000 0.0000 0.2474 1
S2 S 0.0034 0.5017 0.7517 1
```

Summary:
density of states at the Fermi level: 26.794 states/eV/cell
uncorrected formation energy: -1.9504 eV per atom

# Y2TmS4

An optimized crystal structure of Y2TmS4 (GGA-PBE, Alexandria).

Structure (CIF):
```
data_Y2TmS4
_symmetry_space_group_name_H-M 'I m m a'
_symmetry_Int_Tables_number 74
_symmetry_space_group_name_Hall '-I 2b 2'
_cell_length_a 7.803
_cell_length_b 7.833
_cell_length_c 10.861
_cell_angle_alpha 90.00
_cell_angle_beta 90.00
_cell_angle_gamma 90.00
loop_
_atom_site_label
_atom_site_type_symbol
_atom_site_fract_x
_atom_site_fract_y
_atom_site_fract_z
_atom_site_occupancy
Y1 Y 0.000 0.000 0.000 1
Y2 Y 0.250 0.250 0.250 1
Tm1 Tm 0.250 0.250 0.750 1
S1 S 0.000 0.004 0.746 1
S2 S 0.244 0.250 0.998 1
```

Summary:
density of states at the Fermi level: 7.533 states/eV/cell
uncorrected formation energy: -2.0652 eV per atom

# Y4TmS7

An optimized crystal structure of Y4TmS7 (GGA-PBE, Alexandria).

Structure (CIF):
```
data_Y4TmS7
_symmetry_space_group_name_H-M 'C 1 m 1'
_symmetry_Int_Tables_number 8
_symmetry_space_group_name_Hall 'C -2y'
_cell_length_a 12.833
_cell_length_b 3.807
_cell_length_c 11.608
_cell_angle_alpha 90.00
_cell_angle_beta 104.70
_cell_angle_gamma 90.00
loop_
_atom_site_label
_atom_site_type_symbol
_atom_site_fract_x
_atom_site_fract_y
_atom_site_fract_z
_atom_site_occupancy
Y1 Y 0.000 0.000 0.000 1
Y2 Y 0.088 0.500 0.389 1
Y3 Y 0.189 0.000 0.766 1
Y4 Y 0.388 0.500 0.576 1
Tm1 Tm 0.276 0.500 0.156 1
S1 S 0.047 0.500 0.629 1
S2 S 0.130 0.500 0.933 1
S3 S 0.151 0.000 0.224 1
S4 S 0.228 0.000 0.526 1
S5 S 0.347 0.500 0.792 1
S6 S 0.386 0.000 0.079 1
S7 S 0.428 0.500 0.360 1
```

Summary:
density of states at the Fermi level: 2.789 states/eV/cell
uncorrected formation energy: -2.0771 eV per atom

# YTm2ZrS4

An optimized crystal structure of YTm2ZrS4 (GGA-PBE, Alexandria).

Structure (CIF):
```
data_YTm2ZrS4
_symmetry_space_group_name_H-M 'P 1 2/m 1'
_symmetry_Int_Tables_number 10
_symmetry_space_group_name_Hall '-P 2y'
_cell_length_a 6.613
_cell_length_b 3.832
_cell_length_c 6.643
_cell_angle_alpha 90.00
_cell_angle_beta 109.63
_cell_angle_gamma 90.00
loop_
_atom_site_label
_atom_site_type_symbol
_atom_site_fract_x
_atom_site_fract_y
_atom_site_fract_z
_atom_site_occupancy
Y1 Y 0.000 0.000 0.000 1
Tm1 Tm 0.000 0.500 0.500 1
Tm2 Tm 0.500 0.000 0.500 1
Zr1 Zr 0.500 0.500 0.000 1
S1 S 0.254 0.000 0.750 1
S2 S 0.256 0.500 0.254 1
```

Summary:
density of states at the Fermi level: 3.717 states/eV/cell
uncorrected formation energy: -1.7989 eV per atom

# YbTmS2

An optimized crystal structure of YbTmS2 (GGA-PBE, Alexandria).

Structure (CIF):
```
data_YbTmS2
_symmetry_space_group_name_H-M 'R -3 m'
_symmetry_Int_Tables_number 166
_symmetry_space_group_name_Hall '-R 3 2"'
_cell_length_a 3.8867
_cell_length_b 3.8867
_cell_length_c 19.1033
_cell_angle_alpha 90.00
_cell_angle_beta 90.00
_cell_angle_gamma 120.00
loop_
_atom_site_label
_atom_site_type_symbol
_atom_site_fract_x
_atom_site_fract_y
_atom_site_fract_z
_atom_site_occupancy
Yb1 Yb 0.0000 0.0000 0.0000 1
Tm1 Tm 0.0000 0.0000 0.5000 1
S1 S 0.0000 0.0000 0.2479 1
```

Summary:
density of states at the Fermi level: 4.867 states/eV/cell
uncorrected formation energy: -2.0628 eV per atom

# Tm6ZnS5

An optimized crystal structure of Tm6ZnS5 (GGA-PBE, Alexandria).

Structure (CIF):
```
data_Tm6ZnS5
_symmetry_space_group_name_H-M 'C 1 2/m 1'
_symmetry_Int_Tables_number 12
_symmetry_space_group_name_Hall '-C 2y'
_cell_length_a 6.746
_cell_length_b 11.671
_cell_length_c 6.717
_cell_angle_alpha 90.00
_cell_angle_beta 109.50
_cell_angle_gamma 90.00
loop_
_atom_site_label
_atom_site_type_symbol
_atom_site_fract_x
_atom_site_fract_y
_atom_site_fract_z
_atom_site_occupancy
Tm1 Tm 0.249 0.167 0.248 1
Tm2 Tm 0.250 0.000 0.751 1
Zn1 Zn 0.000 0.000 0.000 1
S1 S 0.000 0.169 0.500 1
S2 S 0.000 0.334 0.000 1
S3 S 0.000 0.500 0.500 1
```

Summary:
density of states at the Fermi level: 7.609 states/eV/cell
uncorrected formation energy: -1.6598 eV per atom

# Tm7ZnS5

An optimized crystal structure of Tm7ZnS5 (GGA-PBE, Alexandria).

Structure (CIF):
```
data_Tm7ZnS5
_symmetry_space_group_name_H-M 'P -1'
_symmetry_Int_Tables_number 2
_symmetry_space_group_name_Hall '-P 1'
_cell_length_a 3.841
_cell_length_b 6.617
_cell_length_c 23.019
_cell_angle_alpha 89.97
_cell_angle_beta 90.00
_cell_angle_gamma 73.23
loop_
_atom_site_label
_atom_site_type_symbol
_atom_site_fract_x
_atom_site_fract_y
_atom_site_fract_z
_atom_site_occupancy
Tm1 Tm 0.026 0.447 0.250 1
Tm2 Tm 0.136 0.227 0.964 1
Tm3 Tm 0.137 0.225 0.536 1
Tm4 Tm 0.317 0.866 0.324 1
Tm5 Tm 0.318 0.864 0.176 1
Tm6 Tm 0.408 0.684 0.889 1
Tm7 Tm 0.409 0.682 0.611 1
Zn1 Zn 0.299 0.900 0.750 1
S1 S 0.047 0.406 0.640 1
S2 S 0.047 0.406 0.860 1
S3 S 0.226 0.048 0.071 1
S4 S 0.227 0.047 0.429 1
S5 S 0.500 0.500 0.000 1
S6 S 0.500 0.500 0.500 1
```

Summary:
density of states at the Fermi level: 11.896 states/eV/cell
uncorrected formation energy: -1.5617 eV per atom

# Tm4Zn2S

An optimized crystal structure of Tm4Zn2S (GGA-PBE, Alexandria).

Structure (CIF):
```
data_Tm4Zn2S
_symmetry_space_group_name_H-M 'C 1 2/m 1'
_symmetry_Int_Tables_number 12
_symmetry_space_group_name_Hall '-C 2y'
_cell_length_a 12.306
_cell_length_b 3.847
_cell_length_c 8.441
_cell_angle_alpha 90.00
_cell_angle_beta 124.64
_cell_angle_gamma 90.00
loop_
_atom_site_label
_atom_site_type_symbol
_atom_site_fract_x
_atom_site_fract_y
_atom_site_fract_z
_atom_site_occupancy
Tm1 Tm 0.094 0.000 0.378 1
Tm2 Tm 0.174 0.500 0.084 1
Zn1 Zn 0.115 0.500 0.673 1
S1 S 0.000 0.000 0.000 1
```

Summary:
density of states at the Fermi level: 14.423 states/eV/cell
uncorrected formation energy: -0.7253 eV per atom

# Tm3ZnS

An optimized crystal structure of Tm3ZnS (GGA-PBE, Alexandria).

Structure (CIF):
```
data_Tm3ZnS
_symmetry_space_group_name_H-M 'C 1 2/m 1'
_symmetry_Int_Tables_number 12
_symmetry_space_group_name_Hall '-C 2y'
_cell_length_a 14.116
_cell_length_b 3.809
_cell_length_c 8.861
_cell_angle_alpha 90.00
_cell_angle_beta 93.38
_cell_angle_gamma 90.00
loop_
_atom_site_label
_atom_site_type_symbol
_atom_site_fract_x
_atom_site_fract_y
_atom_site_fract_z
_atom_site_occupancy
Tm1 Tm 0.033 0.000 0.293 1
Tm2 Tm 0.127 0.500 0.957 1
Tm3 Tm 0.236 0.000 0.663 1
Zn1 Zn 0.093 0.500 0.547 1
S1 S 0.197 0.000 0.149 1
```

Summary:
density of states at the Fermi level: 18.443 states/eV/cell
uncorrected formation energy: -0.8885 eV per atom